Record 1
Crystalline Sm2Er3ThS6 at its relaxed geometry. Source: the Alexandria database, functional PBE-GGA.

The value obtained for the uncorrected formation energy is -1.953 eV per atom. For the volume, the calculation gives 260 Å³/f.u.

The space group is C2/m (No. 12) and the conventional cell measures 17.292, 3.920 and 7.942 Å, with angles of 90.00, 104.68 and 90.00 degrees. The asymmetric unit holds Sm at (0.165, 0.000, 0.330), Er at (0.000, 0.500, 0.500), Er at (0.166, 0.000, 0.834), Th at (0.000, 0.500, 0.000), S at (0.004, 0.000, 0.739), S at (0.165, 0.500, 0.591) and S at (0.172, 0.500, 0.076).

=====

Record 2
Crystalline SmEr2Tl3S6 at its relaxed geometry. Source: the Alexandria database, functional PBE-GGA.

The value obtained for the uncorrected formation energy is -1.481 eV per atom. For the volume, the calculation gives 319 Å³/f.u.

The space group is C2/m (No. 12) and the conventional cell measures 6.997, 12.117 and 7.873 Å, with angles of 90.00, 107.24 and 90.00 degrees. The asymmetric unit holds Sm at (0.000, 0.000, 0.000), Er at (0.000, 0.333, 0.000), Tl at (0.000, 0.166, 0.500), Tl at (0.000, 0.500, 0.500), S at (0.224, 0.500, 0.197) and S at (0.237, 0.171, 0.198).

=====

Record 3
Crystalline SmEr2Tm3S6 at its relaxed geometry. Source: the Alexandria database, functional PBE-GGA.

The value obtained for the uncorrected formation energy is -1.953 eV per atom. For the volume, the calculation gives 247 Å³/f.u.

The space group is C2/m (No. 12) and the conventional cell measures 16.891, 3.864 and 7.796 Å, with angles of 90.00, 103.56 and 90.00 degrees. The asymmetric unit holds Sm at (0.000, 0.000, 0.000), Er at (0.166, 0.500, 0.331), Tm at (0.000, 0.000, 0.500), Tm at (0.164, 0.500, 0.834), S at (0.000, 0.500, 0.261), S at (0.167, 0.000, 0.585) and S at (0.171, 0.000, 0.084).

=====

| no. | mass density (Mg/m³) | N(E_F) (states/eV per cell) |
| --- | --- | --- |
| 1 | 7.82 | 11.004 |
| 2 | 6.72 | 0.000 |
| 3 | 7.95 | 10.014 |